A plane-wave DFT calculation with SCAN was carried out for a crystal of Sc2AlZn relaxed with PBEsol.

a = 4.708 Å, b = 4.708 Å, c = 4.708 Å
α = 60.00°, β = 60.00°, γ = 60.00°
Positions (direct):
Sc 0.250 0.250 0.250
Sc 0.750 0.750 0.750
Al 0.000 0.000 0.000
Zn 0.500 0.500 0.500

Calculated values
- calculated formation energy (meV/atom) = -464.7
- symmetry = No. 225

---

A plane-wave DFT calculation with SCAN was carried out for a crystal of Sc2Al2Zn relaxed with PBEsol.

a = 6.533 Å, b = 6.533 Å, c = 4.367 Å
α = 90.00°, β = 90.00°, γ = 90.00°
Positions (direct):
Sc 0.167 0.333 0.000
Sc 0.333 0.833 0.000
Sc 0.667 0.167 0.000
Sc 0.833 0.667 0.000
Al 0.139 0.639 0.500
Al 0.361 0.139 0.500
Al 0.639 0.861 0.500
Al 0.861 0.361 0.500
Zn 0.000 0.000 0.500
Zn 0.500 0.500 0.500

Calculated values
- calculated formation energy (meV/atom) = -452.8
- symmetry = No. 127

---

A plane-wave DFT calculation with SCAN was carried out for a crystal of Sc2AlZn2 relaxed with PBEsol.

a = 8.858 Å, b = 8.858 Å, c = 8.858 Å
α = 158.02°, β = 158.02°, γ = 31.28°
Positions (direct):
Sc 0.104 0.104 0.000
Sc 0.896 0.896 0.000
Al 0.500 0.500 0.000
Zn 0.250 0.750 0.500
Zn 0.750 0.250 0.500

Calculated values
- calculated formation energy (meV/atom) = -101.5
- symmetry = No. 139

---

A plane-wave DFT calculation with SCAN was carried out for a crystal of Sc2AlZn relaxed with PBEsol.

a = 3.290 Å, b = 3.290 Å, c = 6.783 Å
α = 90.00°, β = 90.00°, γ = 90.00°
Positions (direct):
Sc 0.000 0.000 0.242
Sc 0.000 0.000 0.758
Al 0.500 0.500 0.500
Zn 0.500 0.500 0.000

Calculated values
- calculated formation energy (meV/atom) = -478.8
- symmetry = No. 123

---

- calculated formation energy of number 2 (Sc2Al2Zn)?
  -452.8 meV/atom

---

- Which of these has the highest calculated formation energy?
  Sc2AlZn2

---

- Which value of calculated formation energy does entry 1 give?
  -464.7 meV/atom

---

- Among the records above, which one has the highest calculated formation energy?
  Sc2AlZn2